A geometry-optimized Eu3InS structure. Source: Alexandria, functional PBE.

a = 5.542 Å, b = 5.542 Å, c = 5.542 Å
α = 90.00°, β = 90.00°, γ = 90.00°
Space group Pm-3m (No. 221)
Asymmetric unit:
1 Eu 0.000 0.000 0.500 [3 per cell]
2 In 0.500 0.500 0.500 [1 per cell]
3 S 0.000 0.000 0.000 [1 per cell]

Computed properties:
N(E_F) = 27.74 states/eV/cell
Formation energy from raw total energies = -87.4 kJ per mole of atoms